(1)
TeOsRh (PBE, relaxed); formation energy (no corrections) = 0.350 eV per atom; crystal system = cubic; space group = F-43m
1.0
-1.817 -2.755 2.822
-1.392 1.442 3.853
-4.258 0.230 0.824
Os Rh Te
1 1 1
Cartesian
-5.600 -0.813 5.624
0.000 0.000 0.000
-3.734 -0.542 3.750


(2)
NpGa7Ni5 (PBE, relaxed); crystal system = orthorhombic; space group = Imm2; energy of formation from the pure elements = -4.17 eV per formula unit
1.0
4.676 0.000 1.920
2.371 6.084 0.879
0.026 -0.068 6.588
Ni Ga Np
5 7 1
Cartesian
0.046 0.012 3.251
1.181 2.990 0.487
3.493 2.990 1.437
2.358 0.012 4.201
5.266 4.615 7.136
1.816 1.379 2.232
2.859 1.091 6.344
3.182 3.946 5.558
4.267 4.786 2.915
3.883 2.095 3.852
5.471 2.127 6.638
6.210 4.069 4.836
2.410 5.984 7.438


(3)
Li2Be2ReO6 (PBE, relaxed); formation energy (no corrections) = -1.943 eV per atom; crystal system = trigonal; space group = P-3
1.0
-1.757 2.958 3.602
0.530 -4.883 0.825
5.671 0.951 1.985
Li O Be Re
2 6 2 1
Cartesian
1.294 -2.014 2.284
3.151 1.039 4.127
0.481 0.951 1.623
-0.471 1.572 4.045
0.157 -0.963 3.464
3.964 -1.926 4.789
4.916 -2.547 2.367
4.288 -0.012 2.948
4.387 -1.495 3.367
0.058 0.521 3.045
0.000 0.000 0.000


(4)
NaOsAu2 (PBE, relaxed); crystal system = tetragonal; space group = I-42d; energy of formation from the pure elements = 3.91 eV per formula unit
1.0
-3.478 -2.249 2.325
-0.341 -3.140 -3.547
3.854 -7.648 3.220
Os Au Na
2 4 2
Cartesian
-0.767 -6.296 2.467
0.000 0.000 0.000
-0.477 -10.688 1.078
1.484 -7.520 2.224
-1.515 -3.880 1.990
0.578 -3.986 -1.297
0.802 -6.741 -0.469
-1.910 -2.695 -0.611